Record 1
A geometry-optimized PmDy2Y2Er2 structure, computed with PBE-GGA.

* space-group type: C2/m, No. 12
* theoretical density: 7.33 g/cm³
* calculated total energy: -35.861 eV/cell
* E_form: 21 meV/atom

Lattice parameters (Å, degrees): 6.1567 6.1567 7.9527 97.48 97.48 48.19
With the nearest neighbours (Å) after each atom.
Fractional positions:
Pm: 0.0000 0.0000 0.0000  6 Dy 3.55-3.56, 4 Er 3.56, 2 Y 3.56
Dy: 0.2853 0.2853 0.8575  2 Dy 3.55, 3 Pm 3.55-3.56, 3 Y 3.55-3.56, 4 Er 3.55-3.56
Dy: 0.7147 0.7147 0.1425  2 Dy 3.55, 3 Pm 3.55-3.56, 3 Y 3.55-3.56, 4 Er 3.55-3.56
Y: 0.1427 0.1427 0.4291  3 Y 3.55, 5 Er 3.55-3.56, 3 Dy 3.55-3.56, 1 Pm 3.56
Y: 0.8573 0.8573 0.5709  3 Y 3.55, 5 Er 3.55-3.56, 3 Dy 3.55-3.56, 1 Pm 3.56
Er: 0.4287 0.4287 0.2860  1 Er 3.55, 5 Y 3.55-3.56, 4 Dy 3.55-3.56, 2 Pm 3.56
Er: 0.5713 0.5713 0.7140  1 Er 3.55, 5 Y 3.55-3.56, 4 Dy 3.55-3.56, 2 Pm 3.56



Record 2
A geometry-optimized Pm3DyY2Er6 structure, computed with PBE-GGA.

* space-group type: C2/m, No. 12
* theoretical density: 7.75 g/cm³
* calculated total energy: -58.910 eV/cell
* E_form: 21 meV/atom

Lattice parameters (Å, degrees): 6.1662 6.1662 11.7518 95.00 95.00 119.96
With the nearest neighbours (Å) after each atom.
Fractional positions:
Pm: 0.0000 0.0000 0.0000  6 Pm 3.56, 6 Er 3.57
Pm: 0.3333 0.6667 0.0000  6 Pm 3.56, 6 Er 3.57
Pm: 0.6667 0.3333 0.0000  6 Pm 3.56, 6 Er 3.57
Dy: 0.5000 0.5000 0.5000  6 Er 3.53, 6 Y 3.56
Y: 0.1667 0.8333 0.5000  6 Er 3.53, 3 Dy 3.56, 3 Y 3.56
Y: 0.8333 0.1667 0.5000  6 Er 3.53, 3 Dy 3.56, 3 Y 3.56
Er: 0.0845 0.4172 0.2520  1 Dy 3.53, 2 Y 3.53, 6 Er 3.55-3.57, 3 Pm 3.57
Er: 0.2502 0.2502 0.7480  1 Dy 3.53, 2 Y 3.53, 6 Er 3.55-3.57, 3 Pm 3.57
Er: 0.4172 0.0845 0.2520  1 Dy 3.53, 2 Y 3.53, 6 Er 3.55-3.57, 3 Pm 3.57
Er: 0.5828 0.9155 0.7480  1 Dy 3.53, 2 Y 3.53, 6 Er 3.55-3.57, 3 Pm 3.57
Er: 0.7498 0.7498 0.2520  1 Dy 3.53, 2 Y 3.53, 6 Er 3.55-3.57, 3 Pm 3.57
Er: 0.9155 0.5828 0.7480  1 Dy 3.53, 2 Y 3.53, 6 Er 3.55-3.57, 3 Pm 3.57



Record 3
A geometry-optimized Pm2Dy3Y6Er structure, computed with PBE-GGA.

* space-group type: C2/m, No. 12
* theoretical density: 6.36 g/cm³
* calculated total energy: -66.431 eV/cell
* E_form: 19 meV/atom

Lattice parameters (Å, degrees): 6.1845 6.1845 11.8294 94.98 94.98 119.96
With the nearest neighbours (Å) after each atom.
Fractional positions:
Pm: 0.1665 0.8335 0.0000  3 Pm 3.57, 3 Er 3.57, 6 Y 3.58-3.59
Pm: 0.8335 0.1665 0.0000  3 Pm 3.57, 3 Er 3.57, 6 Y 3.58-3.59
Dy: 0.0000 0.0000 0.5000  6 Y 3.55, 6 Dy 3.57
Dy: 0.3335 0.6665 0.5000  6 Y 3.55-3.56, 6 Dy 3.57
Dy: 0.6665 0.3335 0.5000  6 Y 3.55-3.56, 6 Dy 3.57
Y: 0.0832 0.4159 0.7486  3 Dy 3.55-3.56, 6 Y 3.56-3.58, 2 Pm 3.58-3.59, 1 Er 3.58
Y: 0.2517 0.2517 0.2518  3 Dy 3.55, 6 Y 3.56-3.58, 1 Er 3.58, 2 Pm 3.59
Y: 0.4159 0.0832 0.7486  3 Dy 3.55-3.56, 6 Y 3.56-3.58, 2 Pm 3.58-3.59, 1 Er 3.58
Y: 0.5841 0.9168 0.2514  3 Dy 3.55-3.56, 6 Y 3.56-3.58, 2 Pm 3.58-3.59, 1 Er 3.58
Y: 0.7483 0.7483 0.7482  3 Dy 3.55, 6 Y 3.56-3.58, 1 Er 3.58, 2 Pm 3.59
Y: 0.9168 0.5841 0.2514  3 Dy 3.55-3.56, 6 Y 3.56-3.58, 2 Pm 3.58-3.59, 1 Er 3.58
Er: 0.5000 0.5000 0.0000  6 Pm 3.57, 6 Y 3.58



Record 4
A geometry-optimized PmDy3YEr structure, computed with PBE-GGA.

* space-group type: C2/m, No. 12
* theoretical density: 7.59 g/cm³
* calculated total energy: -56.718 eV/cell
* E_form: 204 meV/atom

Lattice parameters (Å, degrees): 10.2927 10.2927 6.9277 90.23 90.23 31.98
With the nearest neighbours (Å) after each atom.
Fractional positions:
Pm: 0.1453 0.1453 0.0239  1 Er 3.02, 2 Dy 3.14-3.25
Pm: 0.8547 0.8547 0.9761  1 Er 3.02, 2 Dy 3.14-3.25
Dy: 0.0216 0.0216 0.7394  1 Pm 3.14, 1 Er 3.19, 2 Y 3.21, 1 Dy 3.42
Dy: 0.2801 0.2801 0.7567  3 Pm 3.25-3.54, 1 Y 3.28, 3 Er 3.30-3.50, 1 Dy 3.56
Dy: 0.3368 0.3368 0.2694  2 Er 3.41, 2 Pm 3.51, 4 Dy 3.56-3.72
Dy: 0.6632 0.6632 0.7306  2 Er 3.41, 2 Pm 3.51, 4 Dy 3.56-3.72
Dy: 0.7199 0.7199 0.2433  3 Pm 3.25-3.54, 1 Y 3.28, 3 Er 3.30-3.50, 1 Dy 3.56
Dy: 0.9784 0.9784 0.2606  1 Pm 3.14, 1 Er 3.19, 2 Y 3.21, 1 Dy 3.42
Y: 0.4456 0.4456 0.7354  3 Dy 3.21-3.28
Y: 0.5544 0.5544 0.2646  3 Dy 3.21-3.28
Er: 0.1496 0.1496 0.4597  1 Pm 3.02, 2 Dy 3.19-3.30
Er: 0.8504 0.8504 0.5403  1 Pm 3.02, 2 Dy 3.19-3.30



Record 5
A geometry-optimized Pm2DyY2Er2 structure, computed with PBE-GGA.

* space-group type: C2/m, No. 12
* theoretical density: 7.06 g/cm³
* calculated total energy: -35.807 eV/cell
* E_form: 50 meV/atom

Lattice parameters (Å, degrees): 8.6021 8.6021 8.7555 118.65 118.65 23.70
With the nearest neighbours (Å) after each atom.
Fractional positions:
Pm: 0.2042 0.2042 0.2890  3 Y 3.36-3.53, 4 Pm 3.53-3.68, 3 Er 3.56-3.75, 2 Dy 3.58
Pm: 0.7958 0.7958 0.7110  3 Y 3.36-3.53, 4 Pm 3.53-3.68, 3 Er 3.56-3.75, 2 Dy 3.58
Dy: 0.5000 0.5000 0.0000  2 Y 3.36, 2 Dy 3.53, 4 Pm 3.58, 4 Er 3.74
Y: 0.4298 0.4298 0.5692  1 Y 3.14, 1 Dy 3.36, 1 Pm 3.36
Y: 0.5702 0.5702 0.4308  1 Y 3.14, 1 Dy 3.36, 1 Pm 3.36
Er: 0.1399 0.1399 0.8368  4 Er 3.53-3.83, 3 Pm 3.56-3.75, 4 Y 3.61, 2 Dy 3.74
Er: 0.8601 0.8601 0.1632  4 Er 3.53-3.83, 3 Pm 3.56-3.75, 4 Y 3.61, 2 Dy 3.74



Record 6
A geometry-optimized Pm2DyYEr structure, computed with PBE-GGA.

* space-group type: Cmcm, No. 63
* theoretical density: 6.73 g/cm³
* calculated total energy: -46.100 eV/cell
* E_form: 416 meV/atom

Lattice parameters (Å, degrees): 7.1418 7.1418 7.2328 90.00 90.00 108.45
With the nearest neighbours (Å) after each atom.
Fractional positions:
Pm: 0.1935 0.1935 0.0000  2 Dy 3.15, 1 Pm 3.23, 2 Er 3.44
Pm: 0.1935 0.1935 0.5000  2 Dy 3.15, 1 Pm 3.23, 2 Er 3.44
Pm: 0.8065 0.8065 0.0000  2 Dy 3.15, 1 Pm 3.23, 2 Er 3.44
Pm: 0.8065 0.8065 0.5000  2 Dy 3.15, 1 Pm 3.23, 2 Er 3.44
Dy: 0.4730 0.5270 0.7500  1 Er 3.05, 4 Pm 3.15, 1 Y 3.29
Dy: 0.5270 0.4730 0.2500  1 Er 3.05, 4 Pm 3.15, 1 Y 3.29
Y: 0.2432 0.7568 0.2500  1 Dy 3.29, 2 Er 3.64
Y: 0.7568 0.2432 0.7500  1 Dy 3.29, 2 Er 3.64
Er: 0.2102 0.7898 0.7500  1 Dy 3.05
Er: 0.7898 0.2102 0.2500  1 Dy 3.05



Record 7
A geometry-optimized PmDy2Y5Er structure, computed with PBE-GGA.

* space-group type: I4/mcm, No. 140
* theoretical density: 6.09 g/cm³
* calculated total energy: -96.631 eV/cell
* E_form: 280 meV/atom

Lattice parameters (Å, degrees): 9.7221 9.7221 9.7221 125.31 125.31 81.03
With the nearest neighbours (Å) after each atom.
Fractional positions:
Pm: 0.2500 0.2500 0.0000  10 Y 3.65-3.70
Pm: 0.7500 0.7500 0.0000  10 Y 3.65-3.70
Dy: 0.1127 0.6127 0.7254  1 Dy 2.85, 2 Y 3.03
Dy: 0.3873 0.1127 0.5000  1 Dy 2.85, 2 Y 3.03
Dy: 0.6127 0.8873 0.5000  1 Dy 2.85, 2 Y 3.03
Dy: 0.8873 0.3873 0.2746  1 Dy 2.85, 2 Y 3.03
Y: 0.0000 0.0000 0.0000  4 Dy 3.60, 2 Pm 3.70, 8 Y 3.76
Y: 0.0722 0.1620 0.5000  1 Dy 3.03, 1 Er 3.12
Y: 0.1620 0.6620 0.0898  1 Dy 3.03, 1 Er 3.12
Y: 0.3380 0.4278 0.5000  1 Dy 3.03, 1 Er 3.12
Y: 0.4278 0.9278 0.0898  1 Dy 3.03, 1 Er 3.12
Y: 0.5000 0.5000 0.0000  4 Dy 3.60, 2 Pm 3.70, 8 Y 3.76
Y: 0.5722 0.0722 0.9102  1 Dy 3.03, 1 Er 3.12
Y: 0.6620 0.5722 0.5000  1 Dy 3.03, 1 Er 3.12
Y: 0.8380 0.3380 0.9102  1 Dy 3.03, 1 Er 3.12
Y: 0.9278 0.8380 0.5000  1 Dy 3.03, 1 Er 3.12
Er: 0.2500 0.7500 0.5000  4 Y 3.12
Er: 0.7500 0.2500 0.5000  4 Y 3.12



Record 8
A geometry-optimized Pm2DyY6Er3 structure, computed with PBE-GGA.

* space-group type: C2/m, No. 12
* theoretical density: 6.43 g/cm³
* calculated total energy: -66.321 eV/cell
* E_form: 21 meV/atom

Lattice parameters (Å, degrees): 6.1761 6.1761 11.8084 94.99 94.99 119.95
With the nearest neighbours (Å) after each atom.
Fractional positions:
Pm: 0.1666 0.8334 0.0000  3 Pm 3.56-3.57, 3 Dy 3.57, 6 Y 3.59
Pm: 0.8334 0.1666 0.0000  3 Pm 3.56-3.57, 3 Dy 3.57, 6 Y 3.59
Dy: 0.5000 0.5000 0.0000  6 Pm 3.57, 6 Y 3.59
Y: 0.0825 0.4154 0.7473  3 Er 3.54, 6 Y 3.56-3.57, 2 Pm 3.59, 1 Dy 3.59
Y: 0.2519 0.2519 0.2529  3 Er 3.53-3.54, 6 Y 3.56-3.57, 1 Dy 3.59, 2 Pm 3.59
Y: 0.4154 0.0825 0.7473  3 Er 3.54, 6 Y 3.56-3.57, 2 Pm 3.59, 1 Dy 3.59
Y: 0.5846 0.9175 0.2527  3 Er 3.54, 6 Y 3.56-3.57, 2 Pm 3.59, 1 Dy 3.59
Y: 0.7481 0.7481 0.7471  3 Er 3.53-3.54, 6 Y 3.56-3.57, 1 Dy 3.59, 2 Pm 3.59
Y: 0.9175 0.5846 0.2527  3 Er 3.54, 6 Y 3.56-3.57, 2 Pm 3.59, 1 Dy 3.59
Er: 0.0000 0.0000 0.5000  6 Y 3.54, 6 Er 3.57
Er: 0.3335 0.6665 0.5000  6 Y 3.53-3.54, 6 Er 3.56-3.57
Er: 0.6665 0.3335 0.5000  6 Y 3.53-3.54, 6 Er 3.56-3.57